Entry 1:
VASP calculation (PBE) on a geometry-optimized Pr3Y8Pu structure. Values from VASP.

```
&SYSTEM
  ibrav = 0, nat = 12, ntyp = 3
/
ATOMIC_SPECIES
Pr 140.91 Pr.upf
Y 88.91 Y.upf
Pu 244.00 Pu.upf
CELL_PARAMETERS angstrom
-4.379 4.379 5.740
4.379 -4.379 5.740
4.379 4.379 -5.740
ATOMIC_POSITIONS angstrom
Pr 0.000 0.000 0.000
Pr 4.379 0.000 2.870
Pr 0.000 4.379 2.870
Y 1.102 -1.102 3.063
Y 2.366 2.366 -0.353
Y 2.013 -2.013 6.094
Y -1.102 1.102 3.063
Y 3.278 3.278 2.677
Y 2.013 2.013 5.387
Y -2.013 2.013 6.094
Y 1.102 1.102 8.418
Pu 0.000 0.000 5.740
```

For the volume, the calculation gives 440.40 Å³/cell. The calculation puts the total magnetic moment at 0.3274 μB/atom. As for the density of states at the Fermi level: 16.90 states/eV/cell. The calculation puts the formation enthalpy at 0 K at 0.569 eV/atom.

Entry 2:
VASP calculation (PBE) on a geometry-optimized PrYPu structure. Values from VASP.

```
&SYSTEM
  ibrav = 0, nat = 3, ntyp = 3
/
ATOMIC_SPECIES
Pr 140.91 Pr.upf
Y 88.91 Y.upf
Pu 244.00 Pu.upf
CELL_PARAMETERS angstrom
-1.786 1.786 7.539
1.786 -1.786 7.539
1.786 1.786 -7.539
ATOMIC_POSITIONS angstrom
Pr 0.000 0.000 0.000
Y 0.000 0.000 10.167
Pu 0.000 0.000 5.051
```

For the volume, the calculation gives 96.19 Å³/cell. The calculation puts the total magnetic moment at 2.0606 μB/atom. As for the density of states at the Fermi level: 7.12 states/eV/cell. The calculation puts the formation enthalpy at 0 K at 0.133 eV/atom.

Entry 3:
VASP calculation (PBE) on a geometry-optimized PrYPu structure. Values from VASP.

```
&SYSTEM
  ibrav = 0, nat = 12, ntyp = 3
/
ATOMIC_SPECIES
Pr 140.91 Pr.upf
Y 88.91 Y.upf
Pu 244.00 Pu.upf
CELL_PARAMETERS angstrom
9.977 -2.800 0.000
9.977 2.800 0.000
-0.396 0.000 6.805
ATOMIC_POSITIONS angstrom
Pr 2.786 0.000 0.993
Pr 3.907 0.000 4.336
Pr 15.652 0.000 2.469
Pr 16.773 0.000 5.812
Y 0.147 0.000 5.000
Y 8.004 0.000 3.847
Y 11.555 0.000 2.958
Y 19.411 0.000 1.805
Pu 5.887 0.000 0.545
Pu 8.739 0.000 0.558
Pu 10.820 0.000 6.247
Pu 13.672 0.000 6.260
```

For the volume, the calculation gives 380.21 Å³/cell. The calculation puts the total magnetic moment at 1.9534 μB/atom. As for the density of states at the Fermi level: 31.08 states/eV/cell. The calculation puts the formation enthalpy at 0 K at 0.196 eV/atom.

Entry 4:
VASP calculation (PBE) on a geometry-optimized PrPuZn4 structure. Values from VASP.

```
&SYSTEM
  ibrav = 0, nat = 6, ntyp = 3
/
ATOMIC_SPECIES
Pr 140.91 Pr.upf
Pu 244.00 Pu.upf
Zn 65.41 Zn.upf
CELL_PARAMETERS angstrom
0.000 3.923 3.923
3.923 0.000 3.923
3.923 3.923 0.000
ATOMIC_POSITIONS angstrom
Pr 0.000 0.000 0.000
Pu 1.962 1.962 1.962
Zn 4.907 2.940 2.940
Zn 2.940 4.907 2.940
Zn 2.940 2.940 4.907
Zn 4.907 4.907 4.907
```

For the volume, the calculation gives 120.79 Å³/cell. The calculation puts the total magnetic moment at 0.8799 μB/atom. As for the density of states at the Fermi level: 11.16 states/eV/cell. The calculation puts the formation enthalpy at 0 K at -0.197 eV/atom.

Entry 5:
VASP calculation (PBE) on a geometry-optimized PrPuZn4 structure. Values from VASP.

```
&SYSTEM
  ibrav = 0, nat = 6, ntyp = 3
/
ATOMIC_SPECIES
Pr 140.91 Pr.upf
Pu 244.00 Pu.upf
Zn 65.41 Zn.upf
CELL_PARAMETERS angstrom
-2.090 2.090 7.710
2.090 -2.090 7.710
2.090 2.090 -7.710
ATOMIC_POSITIONS angstrom
Pr 0.000 0.000 0.000
Pu 0.000 2.090 3.855
Zn 2.090 0.000 2.605
Zn 2.090 0.000 5.106
Zn 0.000 0.000 6.429
Zn 0.000 0.000 8.992
```

For the volume, the calculation gives 134.71 Å³/cell. The calculation puts the total magnetic moment at 1.1062 μB/atom. As for the density of states at the Fermi level: 13.85 states/eV/cell. The calculation puts the formation enthalpy at 0 K at -0.149 eV/atom.

Entry 6:
VASP calculation (PBE) on a geometry-optimized PrPu3Zn8 structure. Values from VASP.

```
&SYSTEM
  ibrav = 0, nat = 12, ntyp = 3
/
ATOMIC_SPECIES
Pr 140.91 Pr.upf
Pu 244.00 Pu.upf
Zn 65.41 Zn.upf
CELL_PARAMETERS angstrom
5.584 0.000 0.000
-2.792 4.836 0.000
0.000 0.000 8.659
ATOMIC_POSITIONS angstrom
Pr 0.000 0.000 0.000
Pu 0.000 0.000 3.363
Pu 2.792 1.612 4.290
Pu 2.792 1.612 7.476
Zn 0.000 1.636 5.922
Zn -1.376 4.018 5.922
Zn 0.000 3.224 3.761
Zn 0.000 3.224 8.114
Zn 2.792 0.008 1.629
Zn 1.403 2.414 1.629
Zn 1.376 4.018 5.922
Zn 4.181 2.414 1.629
```

For the volume, the calculation gives 233.83 Å³/cell. The calculation puts the total magnetic moment at 0.4933 μB/atom. As for the density of states at the Fermi level: 29.33 states/eV/cell. The calculation puts the formation enthalpy at 0 K at -0.171 eV/atom.

Entry 7:
VASP calculation (PBE) on a geometry-optimized PrPuZn2 structure. Values from VASP.

```
&SYSTEM
  ibrav = 0, nat = 4, ntyp = 3
/
ATOMIC_SPECIES
Pr 140.91 Pr.upf
Pu 244.00 Pu.upf
Zn 65.41 Zn.upf
CELL_PARAMETERS angstrom
5.144 0.000 0.000
0.000 5.144 0.000
0.000 0.000 3.677
ATOMIC_POSITIONS angstrom
Pr 0.000 0.000 0.000
Pu 2.572 2.572 0.000
Zn 0.000 2.572 1.838
Zn 2.572 0.000 1.838
```

For the volume, the calculation gives 97.30 Å³/cell. The calculation puts the total magnetic moment at 1.5615 μB/atom. As for the density of states at the Fermi level: 7.61 states/eV/cell. The calculation puts the formation enthalpy at 0 K at -0.158 eV/atom.

Entry 8:
VASP calculation (PBE) on a geometry-optimized PrPuZn2 structure. Values from VASP.

```
&SYSTEM
  ibrav = 0, nat = 4, ntyp = 3
/
ATOMIC_SPECIES
Pr 140.91 Pr.upf
Pu 244.00 Pu.upf
Zn 65.41 Zn.upf
CELL_PARAMETERS angstrom
0.000 3.652 3.652
3.652 0.000 3.652
3.652 3.652 0.000
ATOMIC_POSITIONS angstrom
Pr 0.000 0.000 0.000
Pu 3.652 3.652 3.652
Zn 1.826 1.826 1.826
Zn 5.478 5.478 5.478
```

For the volume, the calculation gives 97.41 Å³/cell. The calculation puts the total magnetic moment at 1.5532 μB/atom. As for the density of states at the Fermi level: 8.18 states/eV/cell. The calculation puts the formation enthalpy at 0 K at -0.137 eV/atom.

Among the records above, which one has the highest formation enthalpy at 0 K? Pr3Y8Pu